1.
The following is a DFT calculation (PBE with a Hubbard U) of a geometry-optimized SrCa2NiF8 structure.

a b c (Å): 4.104 7.527 5.426
angles (deg): 90.00 94.75 90.00
Fractional positions:
1 Sr 0.000 0.000 0.000
2 Ca 0.500 0.265 0.500
3 Ca 0.500 0.735 0.500
4 Ni 0.000 0.500 0.000
5 F 0.050 0.279 0.755
6 F 0.050 0.721 0.755
7 F 0.418 0.500 0.232
8 F 0.497 0.000 0.737
9 F 0.503 0.000 0.263
10 F 0.582 0.500 0.768
11 F 0.950 0.279 0.245
12 F 0.950 0.721 0.245

Results
Density ... 3.76 Mg/m³
E_tot ... -64.4 eV/cell
V ... 13.92 Å³ per atom

---

2.
The following is a DFT calculation (PBE with a Hubbard U) of a geometry-optimized SrCaNiF6 structure.

a b c (Å): 5.642 5.642 10.288
angles (deg): 90.00 90.00 120.00
Fractional positions:
1 Sr 0.000 0.000 0.000
2 Sr 0.000 0.000 0.500
3 Ca 0.333 0.667 0.250
4 Ca 0.667 0.333 0.750
5 Ni 0.333 0.667 0.750
6 Ni 0.667 0.333 0.250
7 F 0.030 0.369 0.639
8 F 0.030 0.662 0.861
9 F 0.338 0.369 0.861
10 F 0.338 0.970 0.639
11 F 0.369 0.030 0.139
12 F 0.369 0.338 0.361
13 F 0.631 0.662 0.639
14 F 0.631 0.970 0.861
15 F 0.662 0.030 0.361
16 F 0.662 0.631 0.139
17 F 0.970 0.338 0.139
18 F 0.970 0.631 0.361

Results
Density ... 3.52 Mg/m³
E_tot ... -94.7 eV/cell
V ... 15.76 Å³ per atom

---

3.
The following is a DFT calculation (PBE with a Hubbard U) of a geometry-optimized SrCaNi2F structure.

a b c (Å): 5.147 5.147 4.516
angles (deg): 90.00 90.00 90.00
Fractional positions:
1 Sr 0.000 0.000 0.000
2 Ca 0.500 0.500 0.500
3 Ni 0.000 0.500 0.000
4 Ni 0.500 0.000 0.000
5 F 0.000 0.000 0.500

Results
Density ... 3.67 Mg/m³
E_tot ... -9.7 eV/cell
V ... 23.93 Å³ per atom

---

4.
The following is a DFT calculation (PBE with a Hubbard U) of a geometry-optimized CaTaNi2F structure.

a b c (Å): 4.321 4.321 5.760
angles (deg): 90.00 90.00 90.00
Fractional positions:
1 Ca 0.000 0.000 0.000
2 Ta 0.000 0.000 0.500
3 Ni 0.000 0.500 0.000
4 Ni 0.500 0.000 0.000
5 F 0.500 0.500 0.500

Results
Density ... 5.52 Mg/m³
E_tot ... -9.8 eV/cell
V ... 21.51 Å³ per atom